# 1
Density functional theory data (GGA-PBE) for crystalline Pm3Nd2SmEr6 at its relaxed geometry.

Lattice parameters (Å, degrees): 6.2182 6.2182 11.7510 95.04 95.04 119.99
Last column: nearest neighbours and their distance in Å.
Fractional coordinates of all 12 atoms:
Pm 0.0000 0.0000 0.0000  6 Er 3.56, 6 Pm 3.59
Pm 0.3333 0.6667 0.0000  6 Er 3.55-3.56, 6 Pm 3.59
Pm 0.6667 0.3333 0.0000  6 Er 3.55-3.56, 6 Pm 3.59
Nd 0.1666 0.8334 0.5000  6 Er 3.56, 3 Nd 3.59, 3 Sm 3.59
Nd 0.8334 0.1666 0.5000  6 Er 3.56, 3 Nd 3.59, 3 Sm 3.59
Sm 0.5000 0.5000 0.5000  6 Er 3.56, 6 Nd 3.59
Er 0.0832 0.4164 0.2498  3 Pm 3.56, 2 Nd 3.56, 1 Sm 3.56, 6 Er 3.59
Er 0.2505 0.2505 0.7503  3 Pm 3.55-3.56, 1 Sm 3.56, 2 Nd 3.56, 6 Er 3.59
Er 0.4164 0.0832 0.2498  3 Pm 3.56, 2 Nd 3.56, 1 Sm 3.56, 6 Er 3.59
Er 0.5836 0.9168 0.7502  3 Pm 3.56, 2 Nd 3.56, 1 Sm 3.56, 6 Er 3.59
Er 0.7495 0.7495 0.2497  3 Pm 3.55-3.56, 1 Sm 3.56, 2 Nd 3.56, 6 Er 3.59
Er 0.9168 0.5836 0.7502  3 Pm 3.56, 2 Nd 3.56, 1 Sm 3.56, 6 Er 3.59

Summary:
DFT total energy: -55.72 eV per cell
D(E_F): 13.0 states/eV/f.u.

***

# 2
Density functional theory data (GGA-PBE) for crystalline NaPdN3 at its relaxed geometry.

Lattice parameters (Å, degrees): 3.9761 3.9761 3.9761 90.00 90.00 90.00
Last column: nearest neighbours and their distance in Å.
Fractional coordinates of all 5 atoms:
Na 0.0000 0.0000 0.0000  6 N 1.99
Pd 0.5000 0.5000 0.5000  12 N 2.81
N 0.0000 0.0000 0.5000  2 Na 1.99
N 0.0000 0.5000 0.0000  2 Na 1.99
N 0.5000 0.0000 0.0000  2 Na 1.99

Summary:
Formation energy (no corrections): 3114 meV/atom
DFT total energy: -15.92 eV per cell
D(E_F): 9.2 states/eV/f.u.

***

# 3
Density functional theory data (GGA-PBE) for crystalline AlRhN3 at its relaxed geometry.

Lattice parameters (Å, degrees): 3.6862 3.6862 3.6862 90.00 90.00 90.00
Last column: nearest neighbours and their distance in Å.
Fractional coordinates of all 5 atoms:
Al 0.0000 0.0000 0.0000  6 N 1.84
Rh 0.5000 0.5000 0.5000  12 N 2.61
N 0.0000 0.0000 0.5000  2 Al 1.84
N 0.0000 0.5000 0.0000  2 Al 1.84
N 0.5000 0.0000 0.0000  2 Al 1.84

Summary:
Formation energy (no corrections): 1156 meV/atom
DFT total energy: -30.29 eV per cell
D(E_F): 3.3 states/eV/f.u.

***

# 4
Density functional theory data (GGA-PBE) for crystalline Li2Zn2Mo at its relaxed geometry.

Lattice parameters (Å, degrees): 7.3828 7.3828 2.5821 90.00 90.00 90.00
Last column: nearest neighbours and their distance in Å.
Fractional coordinates of all 10 atoms:
Li 0.1623 0.3377 0.0000  6 Zn 2.45-2.57, 2 Li 2.58
Li 0.3377 0.8377 0.0000  6 Zn 2.45-2.57, 2 Li 2.58
Li 0.6623 0.1623 0.0000  6 Zn 2.45-2.57, 2 Li 2.58
Li 0.8377 0.6623 0.0000  6 Zn 2.45-2.57, 2 Li 2.58
Zn 0.1379 0.6379 0.5000  6 Li 2.45-2.57, 2 Zn 2.58
Zn 0.3621 0.1379 0.5000  6 Li 2.45-2.57, 2 Zn 2.58
Zn 0.6379 0.8621 0.5000  6 Li 2.45-2.57, 2 Zn 2.58
Zn 0.8621 0.3621 0.5000  6 Li 2.45-2.57, 2 Zn 2.58
Mo 0.0000 0.0000 0.5000  2 Mo 2.58, 4 Zn 2.86
Mo 0.5000 0.5000 0.5000  2 Mo 2.58, 4 Zn 2.86

Summary:
ΔE to the lowest computed polymorph: 66 meV per atom
DFT total energy: -32.62 eV per cell
D(E_F): 2.5 states/eV/f.u.

***

# 5
Density functional theory data (GGA-PBE) for crystalline Er6ScAg5 at its relaxed geometry.

Lattice parameters (Å, degrees): 8.9703 8.9703 8.9703 146.82 132.46 59.21
Last column: nearest neighbours and their distance in Å.
Fractional coordinates of all 12 atoms:
Er 0.0772 0.3289 0.7483  7 Ag 3.10-3.33, 1 Sc 3.23
Er 0.2364 0.0000 0.2364  6 Ag 3.01-3.13, 2 Sc 3.19
Er 0.4194 0.6711 0.7483  7 Ag 3.10-3.33, 1 Sc 3.23
Er 0.5806 0.3289 0.2517  7 Ag 3.10-3.33, 1 Sc 3.23
Er 0.7636 0.0000 0.7636  6 Ag 3.01-3.13, 2 Sc 3.19
Er 0.9228 0.6711 0.2517  7 Ag 3.10-3.33, 1 Sc 3.23
Sc 0.5000 0.5000 0.0000  8 Er 3.19-3.23, 4 Ag 3.46
Ag 0.0000 0.5000 0.5000  8 Er 3.08-3.22
Ag 0.1678 0.1678 0.0000  8 Er 3.10-3.13
Ag 0.3508 0.8508 0.5000  8 Er 3.01-3.33
Ag 0.6492 0.1492 0.5000  8 Er 3.01-3.33
Ag 0.8322 0.8322 0.0000  8 Er 3.10-3.13

Summary:
DFT total energy: -50.62 eV per cell
D(E_F): 10.1 states/eV/f.u.

***

# 6
Density functional theory data (GGA-PBE) for crystalline KZn2Pd2 at its relaxed geometry.

Lattice parameters (Å, degrees): 4.3091 4.3091 11.0025 90.00 90.00 90.00
Last column: nearest neighbours and their distance in Å.
Fractional coordinates of all 10 atoms:
K 0.0000 0.0000 0.0000  8 Zn 3.33, 8 Pd 3.49
K 0.5000 0.5000 0.5000  8 Zn 3.33, 8 Pd 3.49
Zn 0.0000 0.0000 0.3770  4 Pd 2.57, 1 Zn 2.71
Zn 0.0000 0.0000 0.6230  4 Pd 2.57, 1 Zn 2.71
Zn 0.5000 0.5000 0.1230  4 Pd 2.57, 1 Zn 2.71
Zn 0.5000 0.5000 0.8770  4 Pd 2.57, 1 Zn 2.71
Pd 0.0000 0.5000 0.2500  4 Zn 2.57
Pd 0.0000 0.5000 0.7500  4 Zn 2.57
Pd 0.5000 0.0000 0.2500  4 Zn 2.57
Pd 0.5000 0.0000 0.7500  4 Zn 2.57

Summary:
ΔE to the lowest computed polymorph: 42 meV per atom
DFT total energy: -30.40 eV per cell
D(E_F): 1.5 states/eV/f.u.

***

Number 2 is which compound? NaPdN3